17
Lattice="7.098 0.011 0.007 -0.001 8.478 -4.880 -0.028 -0.010 9.775" Properties=species:S:1:pos:R:3 comment="AcTb6Sm10 | Alexandria via LeMat-Bulk | PBE | optimized geometry" rho_g_cm3=7.581 dft_energy_ev_per_cell=-77.40 dos_at_fermi_per_ev_atom=1.584 pbc="T T T"
Ac 3.549 0.005 0.004
Tb 4.459 2.905 1.925
Tb 4.453 0.216 6.312
Tb 4.446 5.360 6.445
Tb 2.610 5.574 2.978
Tb 2.617 8.263 -1.410
Tb 2.624 3.120 -1.543
Sm 6.116 5.915 3.237
Sm 6.125 8.326 -1.821
Sm 6.132 2.734 -1.379
Sm 0.953 2.564 1.665
Sm 0.945 0.153 6.723
Sm 0.937 5.746 6.281
Sm 2.633 2.822 4.891
Sm 4.437 5.658 0.011
Sm 0.769 5.649 0.005
Sm 6.300 2.831 4.898